1.
Computed, not measured: crystalline ScCuW at its relaxed geometry at the PBE level of DFT.

formation enthalpy at 0 K	71.35	kJ/mol of atoms
V	18.4	Å³ per atom
energy above the most stable polymorph in this dataset	573	meV per atom
E	-7.0541	eV per atom

abc: 4.273 4.273 4.273
angles: 60.00 60.00 60.00
Atoms (fractional coordinates):
1 Sc 0.000 0.000 0.000
2 Cu 0.250 0.250 0.250
3 W 0.500 0.500 0.500

=====

2.
Computed, not measured: crystalline Rb3NpPb2O6 at its relaxed geometry at the PBE level of DFT.

uncorrected formation energy	-1.776	eV/atom
V	19.7	Å³ per atom
E	-6.1930	eV per atom

abc: 6.443 6.443 6.857
angles: 99.41 99.41 118.64
Atoms (fractional coordinates):
1 Rb 0.000 0.000 0.000
2 Rb 0.327 0.673 0.000
3 Rb 0.673 0.327 0.000
4 Np 0.500 0.500 0.500
5 Pb 0.180 0.820 0.500
6 Pb 0.820 0.180 0.500
7 O 0.143 0.444 0.314
8 O 0.320 0.320 0.691
9 O 0.444 0.143 0.314
10 O 0.556 0.857 0.686
11 O 0.680 0.680 0.309
12 O 0.857 0.556 0.686

=====

3.
Computed, not measured: crystalline RbGe2Se2 at its relaxed geometry at the PBE level of DFT.

uncorrected formation energy	-0.381	eV/atom
V	27.7	Å³ per atom
energy above the most stable polymorph in this dataset	0	meV per atom
E	-3.8156	eV per atom

abc: 6.282 6.282 6.282
angles: 130.89 130.89 71.99
Atoms (fractional coordinates):
1 Rb 0.000 0.000 0.000
2 Ge 0.347 0.347 0.000
3 Ge 0.653 0.653 0.000
4 Se 0.250 0.750 0.500
5 Se 0.750 0.250 0.500

=====

4.
Computed, not measured: crystalline Na12Sr16Li at its relaxed geometry at the PBE level of DFT.

formation enthalpy at 0 K	2.77	kJ/mol of atoms
V	46.8	Å³ per atom
E	-1.5109	eV per atom

abc: 11.990 11.990 12.108
angles: 109.26 109.26 108.77
Atoms (fractional coordinates):
1 Na 0.000 0.000 0.000
2 Na 0.000 0.819 0.189
3 Na 0.282 0.652 0.648
4 Na 0.295 0.472 0.835
5 Na 0.459 0.648 0.475
6 Na 0.467 0.834 0.006
7 Na 0.472 0.295 0.835
8 Na 0.648 0.459 0.475
9 Na 0.652 0.282 0.648
10 Na 0.819 0.000 0.189
11 Na 0.828 0.828 0.643
12 Na 0.834 0.467 0.006
13 Sr 0.012 0.647 0.825
14 Sr 0.030 0.350 0.212
15 Sr 0.237 0.988 0.819
16 Sr 0.255 0.643 0.151
17 Sr 0.271 0.271 0.476
18 Sr 0.317 0.936 0.505
19 Sr 0.333 0.333 0.142
20 Sr 0.350 0.030 0.212
21 Sr 0.641 0.641 0.180
22 Sr 0.643 0.255 0.151
23 Sr 0.646 0.646 0.825
24 Sr 0.646 0.964 0.436
25 Sr 0.647 0.012 0.825
26 Sr 0.936 0.317 0.505
27 Sr 0.964 0.646 0.436
28 Sr 0.988 0.237 0.819
29 Li 0.004 0.004 0.505

=====

5.
Computed, not measured: crystalline InPbCl2 at its relaxed geometry at the PBE level of DFT.

uncorrected formation energy	-0.547	eV/atom
V	30.7	Å³ per atom
energy above the most stable polymorph in this dataset	162	meV per atom
E	-3.0817	eV per atom

abc: 10.292 10.292 10.292
angles: 151.64 151.64 40.54
Atoms (fractional coordinates):
1 In 0.000 0.000 0.000
2 In 0.750 0.250 0.500
3 Pb 0.250 0.750 0.500
4 Pb 0.500 0.500 0.000
5 Cl 0.134 0.625 0.009
6 Cl 0.375 0.384 0.509
7 Cl 0.616 0.125 0.991
8 Cl 0.875 0.866 0.491

=====

6.
Computed, not measured: crystalline Ba3LaTi at its relaxed geometry at the PBE level of DFT.

formation enthalpy at 0 K	117.37	kJ/mol of atoms
V	51.4	Å³ per atom
E	-2.5016	eV per atom

abc: 6.360 6.360 6.360
angles: 90.00 90.00 90.00
Atoms (fractional coordinates):
1 Ba 0.000 0.000 0.500
2 Ba 0.000 0.500 0.000
3 Ba 0.500 0.000 0.000
4 La 0.000 0.000 0.000
5 Ti 0.500 0.500 0.500

=====

7.
Computed, not measured: crystalline LaPmOs at its relaxed geometry at the PBE level of DFT.

formation enthalpy at 0 K	-9.67	kJ/mol of atoms
V	28.4	Å³ per atom
energy above the most stable polymorph in this dataset	0	meV per atom
E	-7.0695	eV per atom

abc: 4.941 4.941 4.941
angles: 60.00 60.00 60.00
Atoms (fractional coordinates):
1 La 0.000 0.000 0.000
2 Pm 0.500 0.500 0.500
3 Os 0.250 0.250 0.250

=====

8.
Computed, not measured: crystalline MgFeI3 at its relaxed geometry at the PBE level of DFT.

uncorrected formation energy	0.073	eV/atom
V	33.4	Å³ per atom
energy above the most stable polymorph in this dataset	0	meV per atom
E	-2.8689	eV per atom

abc: 5.506 5.506 5.506
angles: 90.00 90.00 90.00
Atoms (fractional coordinates):
1 Mg 0.000 0.000 0.000
2 Fe 0.500 0.500 0.500
3 I 0.000 0.500 0.500
4 I 0.500 0.000 0.500
5 I 0.500 0.500 0.000

=====

9.
Computed, not measured: crystalline NiSeN2 at its relaxed geometry at the PBE level of DFT.

uncorrected formation energy	1.027	eV/atom
V	12.5	Å³ per atom
E	-5.4520	eV per atom

abc: 5.701 5.701 5.701
angles: 132.12 132.12 70.04
Atoms (fractional coordinates):
1 Ni 0.000 0.000 0.000
2 Ni 0.750 0.250 0.500
3 Se 0.250 0.750 0.500
4 Se 0.500 0.500 0.000
5 N 0.085 0.625 0.960
6 N 0.375 0.335 0.460
7 N 0.665 0.125 0.040
8 N 0.875 0.915 0.540

=====

10.
Computed, not measured: crystalline BaSi2N at its relaxed geometry at the PBE level of DFT.

uncorrected formation energy	0.231	eV/atom
V	20.6	Å³ per atom
E	-5.0421	eV per atom

abc: 8.074 8.074 8.074
angles: 145.93 145.93 48.95
Atoms (fractional coordinates):
1 Ba 0.375 0.625 0.750
2 Ba 0.625 0.375 0.250
3 Si 0.000 0.000 0.000
4 Si 0.000 0.000 0.500
5 Si 0.000 0.500 0.000
6 Si 0.500 0.000 0.500
7 N 0.125 0.875 0.250
8 N 0.875 0.125 0.750

=====

11.
Computed, not measured: crystalline Li2BeInSi at its relaxed geometry at the PBE level of DFT.

uncorrected formation energy	0.183	eV/atom
V	20.0	Å³ per atom
E	-2.9600	eV per atom

abc: 4.901 4.901 4.156
angles: 90.00 90.00 90.00
Atoms (fractional coordinates):
1 Li 0.000 0.500 0.000
2 Li 0.500 0.000 0.000
3 Be 0.000 0.000 0.500
4 In 0.500 0.500 0.500
5 Si 0.000 0.000 0.000

=====

12.
Computed, not measured: crystalline SmSnPdRu at its relaxed geometry at the PBE level of DFT.

formation enthalpy at 0 K	-46.02	kJ/mol of atoms
V	19.5	Å³ per atom
E	-6.2746	eV per atom

abc: 4.792 4.792 4.792
angles: 60.00 60.00 60.00
Atoms (fractional coordinates):
1 Sm 0.000 0.000 0.000
2 Sn 0.500 0.500 0.500
3 Pd 0.250 0.250 0.250
4 Ru 0.750 0.750 0.750

=====

> Which formula does entry 10 have?

BaSi2N